# 1
Density functional theory data (PBE) for a relaxed PaSiMo crystal.

crystal system	orthorhombic

Structure (CIF):
```
data_PaSiMo
_space_group_name_H-M_alt 'P n m a'
_space_group_IT_number 62
_cell_length_a 6.930
_cell_length_b 4.562
_cell_length_c 7.180
_cell_angle_alpha 90.00
_cell_angle_beta 90.00
_cell_angle_gamma 90.00
loop_
_space_group_symop_operation_xyz
'x,y,z'
'-x,-y,-z'
'-x+1/2,-y,z+1/2'
'x+1/2,y,-z+1/2'
'x+1/2,-y+1/2,-z+1/2'
'-x+1/2,y+1/2,z+1/2'
'-x,y+1/2,-z'
'x,-y+1/2,z'
loop_
_atom_site_label
_atom_site_fract_x
_atom_site_fract_y
_atom_site_fract_z
Pa1 0.018 0.250 0.194
Si1 0.208 0.250 0.613
Mo1 0.160 0.750 0.457
```


# 2
Density functional theory data (PBE) for a relaxed PaTcMo crystal.

calculated formation energy	0.416	eV/atom
crystal system	cubic

Structure (CIF):
```
data_PaTcMo
_space_group_name_H-M_alt 'F -4 3 m'
_space_group_IT_number 216
_space_group_name_Hall 'F -4 2 3'
_cell_length_a 6.284
_cell_length_b 6.284
_cell_length_c 6.284
_cell_angle_alpha 90.00
_cell_angle_beta 90.00
_cell_angle_gamma 90.00
loop_
_atom_site_label
_atom_site_fract_x
_atom_site_fract_y
_atom_site_fract_z
Pa1 0.000 0.000 0.000
Tc1 0.000 0.000 0.500
Mo1 0.250 0.250 0.250
```


# 3
Density functional theory data (PBE) for a relaxed PaTcMo crystal.

calculated formation energy	0.703	eV/atom
crystal system	cubic

Structure (CIF):
```
data_PaTcMo
_space_group_name_H-M_alt 'F -4 3 m'
_space_group_IT_number 216
_space_group_name_Hall 'F -4 2 3'
_cell_length_a 6.241
_cell_length_b 6.241
_cell_length_c 6.241
_cell_angle_alpha 90.00
_cell_angle_beta 90.00
_cell_angle_gamma 90.00
loop_
_atom_site_label
_atom_site_fract_x
_atom_site_fract_y
_atom_site_fract_z
Pa1 0.000 0.000 0.000
Tc1 0.250 0.250 0.250
Mo1 0.250 0.250 0.750
```


# 4
Density functional theory data (PBE) for a relaxed TmPaMo crystal.

calculated formation energy	0.435	eV/atom
crystal system	cubic

Structure (CIF):
```
data_TmPaMo
_space_group_name_H-M_alt 'F -4 3 m'
_space_group_IT_number 216
_space_group_name_Hall 'F -4 2 3'
_cell_length_a 6.763
_cell_length_b 6.763
_cell_length_c 6.763
_cell_angle_alpha 90.00
_cell_angle_beta 90.00
_cell_angle_gamma 90.00
loop_
_atom_site_label
_atom_site_fract_x
_atom_site_fract_y
_atom_site_fract_z
Tm1 0.000 0.000 0.000
Pa1 0.000 0.000 0.500
Mo1 0.250 0.250 0.750
```


# 5
Density functional theory data (PBE) for a relaxed YPaMo crystal.

calculated formation energy	0.492	eV/atom
crystal system	cubic

Structure (CIF):
```
data_YPaMo
_space_group_name_H-M_alt 'F -4 3 m'
_space_group_IT_number 216
_space_group_name_Hall 'F -4 2 3'
_cell_length_a 6.810
_cell_length_b 6.810
_cell_length_c 6.810
_cell_angle_alpha 90.00
_cell_angle_beta 90.00
_cell_angle_gamma 90.00
loop_
_atom_site_label
_atom_site_fract_x
_atom_site_fract_y
_atom_site_fract_z
Y1 0.000 0.000 0.000
Pa1 0.000 0.000 0.500
Mo1 0.250 0.250 0.750
```


# 6
Density functional theory data (PBE) for a relaxed PaZnMo crystal.

calculated formation energy	0.457	eV/atom
crystal system	cubic

Structure (CIF):
```
data_PaZnMo
_space_group_name_H-M_alt 'F -4 3 m'
_space_group_IT_number 216
_space_group_name_Hall 'F -4 2 3'
_cell_length_a 6.339
_cell_length_b 6.339
_cell_length_c 6.339
_cell_angle_alpha 90.00
_cell_angle_beta 90.00
_cell_angle_gamma 90.00
loop_
_atom_site_label
_atom_site_fract_x
_atom_site_fract_y
_atom_site_fract_z
Pa1 0.000 0.000 0.000
Zn1 0.000 0.000 0.500
Mo1 0.250 0.250 0.250
```


no.,relative energy among the computed polymorphs (eV/f.u.)
1,0.000
2,0.000
3,0.860
4,0.000
5,0.000
6,0.000